[1]
The following is a DFT calculation (PBE) of crystalline Pm3Mg3Tl at its relaxed geometry.

a = 10.9233 Å, b = 10.6545 Å, c = 7.2667 Å
α = 90.00°, β = 90.14°, γ = 90.00°
Closest atoms and distances in Å follow each position.
Space group C2/m (No. 12)
Inequivalent atoms, fractional coordinates:
Pm 0.0005 0.0000 0.2463 x4  2 Tl 3.42-3.49, 4 Mg 3.55-3.62, 4 Pm 3.58-3.79
Pm 0.2499 0.2465 0.7484 x8  2 Tl 3.22-3.23, 6 Mg 3.25-3.37
Mg 0.0000 0.2872 0.0000 x4  4 Mg 3.27-3.65, 6 Pm 3.30-3.55
Mg 0.0000 0.3243 0.5000 x4  2 Tl 3.16, 4 Pm 3.36-3.37
Mg 0.2154 0.5000 0.9918 x4  6 Pm 3.25-3.62, 2 Mg 3.27, 1 Tl 3.53
Tl 0.2327 0.5000 0.5061 x4  3 Mg 3.16-3.53, 6 Pm 3.22-3.49

## Properties
N(E_F) (states/eV/cell): 30.567
Calculated formation energy (kJ/mol of formula units): -29
E_tot (eV per atom): -3.100

---

[2]
The following is a DFT calculation (PBE) of crystalline Cs2Ga2Ge2H at its relaxed geometry.

a = 4.4714 Å, b = 6.6408 Å, c = 7.6555 Å
α = 94.90°, β = 106.86°, γ = 109.44°
Closest atoms and distances in Å follow each position.
Space group P-1 (No. 2)
Inequivalent atoms, fractional coordinates:
Cs 0.2294 0.2913 0.1685 x2  2 H 3.36-3.37, 3 Ge 3.61-3.71
Ga 0.0986 0.7750 0.4285 x2  1 H 1.90
Ge 0.4125 0.1218 0.6977 x2  3 Ga 2.55-2.62
H 0.0000 0.5000 0.5000 x1  2 Ga 1.90

## Properties
N(E_F) (states/eV/cell): 1.757
E_tot (eV per atom): -3.017

---

[3]
The following is a DFT calculation (PBE) of crystalline NiPt2Rh4 at its relaxed geometry.

a = 5.2460 Å, b = 6.8428 Å, c = 6.9245 Å
α = 118.41°, β = 100.05°, γ = 99.41°
Closest atoms and distances in Å follow each position.
Space group P1 (No. 1)
Inequivalent atoms, fractional coordinates:
Ni 0.0000 0.0000 0.0000 x1  7 Rh 2.46-2.69, 1 Pt 2.69
Ni 0.1668 0.7419 0.6050 x1  2 Pt 2.49-2.59, 6 Rh 2.49-2.79
Pt 0.1469 0.1609 0.7373 x1  2 Ni 2.59-2.69, 7 Rh 2.62-2.85, 1 Pt 2.71
Pt 0.5340 0.8238 0.2213 x1  8 Rh 2.63-2.87, 2 Pt 2.75
Pt 0.6661 0.4244 0.9621 x1  7 Rh 2.61-2.80, 3 Pt 2.70-2.75
Pt 0.6756 0.5590 0.3987 x1  1 Ni 2.49, 6 Rh 2.63-2.76, 2 Pt 2.70-2.75
Rh 0.0503 0.8458 0.2915 x1  2 Ni 2.60-2.68, 4 Pt 2.63-2.80, 4 Rh 2.67-2.74
Rh 0.0850 0.5897 0.8612 x1  2 Ni 2.51-2.64, 3 Pt 2.66-2.73, 3 Rh 2.69-2.72
Rh 0.1555 0.4424 0.1802 x1  2 Ni 2.57-2.65, 4 Pt 2.66-2.87, 3 Rh 2.67-2.83
Rh 0.4656 0.2401 0.4910 x1  6 Rh 2.63-2.74, 4 Pt 2.68-2.79
Rh 0.4948 0.0984 0.0550 x1  1 Ni 2.48, 3 Pt 2.65-2.76, 4 Rh 2.68-2.77
Rh 0.5743 0.6839 0.7933 x1  2 Ni 2.46-2.49, 3 Pt 2.61-2.71, 4 Rh 2.61-2.72
Rh 0.6319 0.9902 0.6687 x1  2 Ni 2.57-2.69, 3 Rh 2.61-2.70, 4 Pt 2.62-2.72
Rh 0.9591 0.2658 0.4135 x1  2 Ni 2.63-2.79, 6 Rh 2.67-2.77, 2 Pt 2.71-2.74

## Properties
N(E_F) (states/eV/cell): 24.196
Calculated formation energy (kJ/mol of formula units): 111
E_tot (eV per atom): -6.588

---

[4]
The following is a DFT calculation (PBE) of crystalline TlSe2NCl at its relaxed geometry.

a = 6.1997 Å, b = 6.1997 Å, c = 3.2602 Å
α = 90.00°, β = 90.00°, γ = 90.00°
Closest atoms and distances in Å follow each position.
Space group P4/mmm (No. 123)
Inequivalent atoms, fractional coordinates:
Tl 0.0000 0.0000 0.0000 x1  2 Tl 3.26, 8 Se 3.50
Se 0.0000 0.5000 0.5000 x2  2 Cl 3.10, 2 Se 3.26
N 0.5000 0.5000 0.0000 x1  2 Cl 1.63
Cl 0.5000 0.5000 0.5000 x1  2 N 1.63

## Properties
N(E_F) (states/eV/cell): 3.058
Raw formation energy (eV/atom): 1.17
Energy relative to the lowest polymorph listed for this composition (meV/atom): 0
E_tot (eV per atom): -2.731

---

Which formula does entry 3 have?
NiPt2Rh4

---

What did the fourth record say?
The following is a DFT calculation (PBE) of crystalline TlSe2NCl at its relaxed geometry.

a = 6.1997 Å, b = 6.1997 Å, c = 3.2602 Å
α = 90.00°, β = 90.00°, γ = 90.00°
Closest atoms and distances in Å follow each position.
Space group P4/mmm (No. 123)
Inequivalent atoms, fractional coordinates:
Tl 0.0000 0.0000 0.0000 x1  2 Tl 3.26, 8 Se 3.50
Se 0.0000 0.5000 0.5000 x2  2 Cl 3.10, 2 Se 3.26
N 0.5000 0.5000 0.0000 x1  2 Cl 1.63
Cl 0.5000 0.5000 0.5000 x1  2 N 1.63

## Properties
N(E_F) (states/eV/cell): 3.058
Raw formation energy (eV/atom): 1.17
Energy relative to the lowest polymorph listed for this composition (meV/atom): 0
E_tot (eV per atom): -2.731